Below is crystalline La6Si2SeI3 at its relaxed geometry, with properties calculated at the PBE level.

Cell and atoms, written as POSCAR:
```
La6Si2SeI3
1.0
3.814 -6.606 0.000
3.814 6.606 0.000
-2.541 0.000 7.805
La Si Se I
6 2 1 3
direct
0.093 0.433 0.800 La
0.226 0.226 0.199 La
0.433 0.093 0.800 La
0.567 0.907 0.200 La
0.774 0.774 0.801 La
0.907 0.567 0.200 La
0.167 0.833 0.000 Si
0.833 0.167 0.000 Si
0.500 0.500 0.000 Se
0.000 0.000 0.500 I
0.334 0.666 0.500 I
0.666 0.334 0.500 I
```

The energy is -0.3865 Ry per atom. The formation energy without anion corrections is -1.21 eV per atom. Its space-group type is C2/m.